Here is ThSb2Pt after structural relaxation from the Alexandria database. Energies are from PBE-GGA.

ΔE_f (raw) ... -0.12 eV per atom
Mass density ... 10.08 g/cm3

Structure (CIF):
```
data_ThSb2Pt
_chemical_formula_sum 'Th3 Sb6 Pt3'
_cell_length_a 3.5713
_cell_length_b 3.5713
_cell_length_c 30.0195
_cell_angle_alpha 90.00
_cell_angle_beta 90.00
_cell_angle_gamma 120.00
_symmetry_space_group_name_H-M 'R -3 m'
_symmetry_Int_Tables_number 166
_symmetry_space_group_name_Hall '-R 3 2"'
loop_
_atom_site_label
_atom_site_fract_x
_atom_site_fract_y
_atom_site_fract_z
Th1 0.0000 0.0000 0.0000
Sb1 0.0000 0.0000 0.1076
Pt1 0.0000 0.0000 0.5000
```